No. 1
# GeSI2N

A relaxed GeSI2N crystal (PBE, Alexandria via LeMat-Bulk).

a b c (Å): 6.360 6.360 3.334
angles (deg): 90.00 90.00 90.00
Fractional coordinates of all 5 atoms:
Ge: 0.000 0.000 0.000
S: 0.500 0.500 0.500
I: 0.000 0.500 0.500
I: 0.500 0.000 0.500
N: 0.500 0.500 0.000

VASP energy ... -3.168 eV per atom
Spin magnetization ... 0.0 μB/f.u.
Theoretical density ... 4.6 g cm⁻³
ΔE_f (raw) ... 4.3 eV per formula unit
ΔE to the lowest computed polymorph ... 0 meV per atom
DOS at the Fermi energy ... 2.14 states/eV per cell

***

No. 2
# TcPbAu2

A relaxed TcPbAu2 crystal (PBE, Alexandria via LeMat-Bulk).

a b c (Å): 3.067 3.067 28.873
angles (deg): 90.00 90.00 120.00
Fractional coordinates of all 12 atoms:
Tc: 0.000 0.000 0.000
Tc: 0.333 0.667 0.667
Tc: 0.667 0.333 0.333
Pb: 0.000 0.000 0.250
Pb: 0.333 0.667 0.916
Pb: 0.667 0.333 0.583
Au: 0.000 0.000 0.487
Au: 0.000 0.000 0.740
Au: 0.333 0.667 0.153
Au: 0.333 0.667 0.407
Au: 0.667 0.333 0.074
Au: 0.667 0.333 0.820

VASP energy ... -4.681 eV per atom
Spin magnetization ... 0.7 μB/f.u.
Theoretical density ... 14.8 g cm⁻³
Energy relative to the elements ... 0.4764 eV per atom
DOS at the Fermi energy ... 9.77 states/eV per cell

***

No. 3
# La2ErSb4Rh3

A relaxed La2ErSb4Rh3 crystal (PBE, Alexandria via LeMat-Bulk).

a b c (Å): 4.555 4.555 11.588
angles (deg): 90.00 90.00 90.00
Fractional coordinates of all 10 atoms:
La: 0.000 0.500 0.228
La: 0.500 0.000 0.772
Er: 0.000 0.000 0.500
Sb: 0.000 0.000 0.000
Sb: 0.000 0.500 0.658
Sb: 0.500 0.000 0.342
Sb: 0.500 0.500 0.000
Rh: 0.000 0.500 0.885
Rh: 0.500 0.000 0.115
Rh: 0.500 0.500 0.500

VASP energy ... -6.176 eV per atom
Spin magnetization ... 0.0 μB/f.u.
Theoretical density ... 8.6 g cm⁻³
ΔE_f (raw) ... -8.8 eV per formula unit
DOS at the Fermi energy ... 4.14 states/eV per cell

***

No. 4
# YInH3

A relaxed YInH3 crystal (PBE, Alexandria via LeMat-Bulk).

a b c (Å): 4.185 4.185 4.185
angles (deg): 90.00 90.00 90.00
Fractional coordinates of all 5 atoms:
Y: 0.000 0.000 0.000
In: 0.500 0.500 0.500
H: 0.000 0.000 0.500
H: 0.000 0.500 0.000
H: 0.500 0.000 0.000

VASP energy ... -4.016 eV per atom
Spin magnetization ... 0.0 μB/f.u.
Theoretical density ... 4.7 g cm⁻³
ΔE to the lowest computed polymorph ... 0 meV per atom
DOS at the Fermi energy ... 1.08 states/eV per cell

***

No. 5
# IrPtBr

A relaxed IrPtBr crystal (PBE, Alexandria via LeMat-Bulk).

a b c (Å): 3.722 3.722 5.341
angles (deg): 90.00 90.00 120.00
Fractional coordinates of all 3 atoms:
Ir: 0.000 0.000 0.000
Pt: 0.667 0.333 0.252
Br: 0.333 0.667 0.746

VASP energy ... -4.985 eV per atom
Spin magnetization ... 0.0 μB/f.u.
Theoretical density ... 12.1 g cm⁻³
ΔE_f (raw) ... 1.6 eV per formula unit
ΔE to the lowest computed polymorph ... 0 meV per atom

***

No. 6
# Pu2TcAs

A relaxed Pu2TcAs crystal (PBE, Alexandria via LeMat-Bulk).

a b c (Å): 4.423 4.423 4.037
angles (deg): 90.00 90.00 90.00
Fractional coordinates of all 4 atoms:
Pu: 0.000 0.500 0.000
Pu: 0.500 0.000 0.000
Tc: 0.000 0.000 0.500
As: 0.500 0.500 0.500

VASP energy ... -11.257 eV per atom
Spin magnetization ... 9.2 μB/f.u.
Theoretical density ... 13.9 g cm⁻³
Energy relative to the elements ... -0.3367 eV per atom
ΔE to the lowest computed polymorph ... 65 meV per atom
DOS at the Fermi energy ... 8.40 states/eV per cell

***

No. 7
# In2TcW

A relaxed In2TcW crystal (PBE, Alexandria via LeMat-Bulk).

a b c (Å): 4.908 4.908 3.005
angles (deg): 90.00 90.00 90.00
Fractional coordinates of all 4 atoms:
In: 0.000 0.500 0.000
In: 0.500 0.000 0.000
Tc: 0.000 0.000 0.500
W: 0.500 0.500 0.500

VASP energy ... -6.505 eV per atom
Spin magnetization ... 1.7 μB/f.u.
Theoretical density ... 11.7 g cm⁻³
Energy relative to the elements ... 0.6943 eV per atom
ΔE to the lowest computed polymorph ... 526 meV per atom
DOS at the Fermi energy ... 3.25 states/eV per cell

***

No. 8
# Mn2ZnIn

A relaxed Mn2ZnIn crystal (PBE, Alexandria via LeMat-Bulk).

a b c (Å): 2.888 2.888 25.860
angles (deg): 90.00 90.00 120.00
Fractional coordinates of all 12 atoms:
Mn: 0.000 0.000 0.000
Mn: 0.000 0.000 0.269
Mn: 0.333 0.667 0.667
Mn: 0.333 0.667 0.935
Mn: 0.667 0.333 0.333
Mn: 0.667 0.333 0.602
Zn: 0.000 0.000 0.522
Zn: 0.333 0.667 0.189
Zn: 0.667 0.333 0.856
In: 0.000 0.000 0.756
In: 0.333 0.667 0.422
In: 0.667 0.333 0.089

VASP energy ... -5.171 eV per atom
Spin magnetization ... 3.5 μB/f.u.
Theoretical density ... 7.7 g cm⁻³
Energy relative to the elements ... 0.4169 eV per atom
DOS at the Fermi energy ... 14.86 states/eV per cell

***

No. 9
# PaInOs2

A relaxed PaInOs2 crystal (PBE, Alexandria via LeMat-Bulk).

a b c (Å): 4.479 4.479 3.707
angles (deg): 90.00 90.00 90.00
Fractional coordinates of all 4 atoms:
Pa: 0.000 0.000 0.000
In: 0.500 0.500 0.000
Os: 0.000 0.500 0.500
Os: 0.500 0.000 0.500

VASP energy ... -8.791 eV per atom
Spin magnetization ... 0.0 μB/f.u.
Theoretical density ... 16.2 g cm⁻³
Energy relative to the elements ... -0.1176 eV per atom
ΔE to the lowest computed polymorph ... 0 meV per atom
DOS at the Fermi energy ... 0.67 states/eV per cell

***

No. 10
# CsKRb2Cl

A relaxed CsKRb2Cl crystal (PBE, Alexandria via LeMat-Bulk).

a b c (Å): 6.869 6.869 7.127
angles (deg): 90.00 90.00 90.00
Fractional coordinates of all 5 atoms:
Cs: 0.000 0.000 0.000
K: 0.500 0.500 0.000
Rb: 0.000 0.500 0.500
Rb: 0.500 0.000 0.500
Cl: 0.000 0.000 0.500

VASP energy ... -1.872 eV per atom
Spin magnetization ... 0.0 μB/f.u.
Theoretical density ... 1.9 g cm⁻³
ΔE_f (raw) ... -3.6 eV per formula unit
ΔE to the lowest computed polymorph ... 0 meV per atom
DOS at the Fermi energy ... 3.00 states/eV per cell

***

No. 11
# TcAu2Br

A relaxed TcAu2Br crystal (PBE, Alexandria via LeMat-Bulk).

a b c (Å): 2.809 2.809 10.785
angles (deg): 90.00 90.00 90.00
Fractional coordinates of all 4 atoms:
Tc: 0.000 0.000 0.000
Au: 0.500 0.500 0.188
Au: 0.500 0.500 0.812
Br: 0.000 0.000 0.500

VASP energy ... -4.122 eV per atom
Spin magnetization ... 0.8 μB/f.u.
Theoretical density ... 11.2 g cm⁻³
ΔE_f (raw) ... 2.1 eV per formula unit
ΔE to the lowest computed polymorph ... 184 meV per atom
DOS at the Fermi energy ... 4.50 states/eV per cell

***

No. 12
# BaCa2Rh2

A relaxed BaCa2Rh2 crystal (PBE, Alexandria via LeMat-Bulk).

a b c (Å): 4.748 4.748 12.169
angles (deg): 90.00 90.00 90.00
Fractional coordinates of all 10 atoms:
Ba: 0.000 0.000 0.000
Ba: 0.500 0.500 0.500
Ca: 0.000 0.500 0.250
Ca: 0.000 0.500 0.750
Ca: 0.500 0.000 0.250
Ca: 0.500 0.000 0.750
Rh: 0.000 0.000 0.393
Rh: 0.000 0.000 0.607
Rh: 0.500 0.500 0.107
Rh: 0.500 0.500 0.893

VASP energy ... -4.326 eV per atom
Spin magnetization ... 0.0 μB/f.u.
Theoretical density ... 5.1 g cm⁻³
Energy relative to the elements ... -0.2006 eV per atom
ΔE to the lowest computed polymorph ... 12 meV per atom
DOS at the Fermi energy ... 2.90 states/eV per cell

***

No. 13
# TlHg2P

A relaxed TlHg2P crystal (PBE, Alexandria via LeMat-Bulk).

a b c (Å): 3.241 3.241 32.662
angles (deg): 90.00 90.00 120.00
Fractional coordinates of all 12 atoms:
Tl: 0.000 0.000 0.000
Tl: 0.333 0.667 0.667
Tl: 0.667 0.333 0.333
Hg: 0.000 0.000 0.237
Hg: 0.000 0.000 0.484
Hg: 0.333 0.667 0.151
Hg: 0.333 0.667 0.904
Hg: 0.667 0.333 0.571
Hg: 0.667 0.333 0.818
P: 0.000 0.000 0.742
P: 0.333 0.667 0.409
P: 0.667 0.333 0.076

VASP energy ... -1.704 eV per atom
Spin magnetization ... 0.0 μB/f.u.
Theoretical density ... 10.7 g cm⁻³
Energy relative to the elements ... 0.3914 eV per atom
ΔE to the lowest computed polymorph ... 247 meV per atom
DOS at the Fermi energy ... 9.24 states/eV per cell

***

No. 14
# GdErAlCu

A relaxed GdErAlCu crystal (PBE, Alexandria via LeMat-Bulk).

a b c (Å): 7.131 7.131 7.131
angles (deg): 90.00 90.00 90.00
Fractional coordinates of all 16 atoms:
Gd: 0.000 0.000 0.000
Gd: 0.000 0.500 0.500
Gd: 0.500 0.000 0.500
Gd: 0.500 0.500 0.000
Er: 0.000 0.000 0.500
Er: 0.000 0.500 0.000
Er: 0.500 0.000 0.000
Er: 0.500 0.500 0.500
Al: 0.250 0.250 0.250
Al: 0.250 0.750 0.750
Al: 0.750 0.250 0.750
Al: 0.750 0.750 0.250
Cu: 0.250 0.250 0.750
Cu: 0.250 0.750 0.250
Cu: 0.750 0.250 0.250
Cu: 0.750 0.750 0.750

VASP energy ... -6.906 eV per atom
Spin magnetization ... 7.5 μB/f.u.
Theoretical density ... 7.6 g cm⁻³
Energy relative to the elements ... -0.2849 eV per atom
DOS at the Fermi energy ... 12.71 states/eV per cell

***

No. 15
# MnPtRh

A relaxed MnPtRh crystal (PBE, Alexandria via LeMat-Bulk).

a b c (Å): 2.783 2.783 11.159
angles (deg): 90.00 90.00 90.00
Fractional coordinates of all 6 atoms:
Mn: 0.000 0.000 0.000
Mn: 0.500 0.500 0.500
Pt: 0.000 0.000 0.664
Pt: 0.500 0.500 0.164
Rh: 0.000 0.000 0.345
Rh: 0.500 0.500 0.845

VASP energy ... -7.701 eV per atom
Spin magnetization ... 3.3 μB/f.u.
Theoretical density ... 13.6 g cm⁻³
Energy relative to the elements ... -0.1805 eV per atom
ΔE to the lowest computed polymorph ... 0 meV per atom
DOS at the Fermi energy ... 6.30 states/eV per cell

***

No. 16
# LiMg2Ru

A relaxed LiMg2Ru crystal (PBE, Alexandria via LeMat-Bulk).

a b c (Å): 3.288 3.288 6.373
angles (deg): 90.00 90.00 90.00
Fractional coordinates of all 4 atoms:
Li: 0.000 0.000 0.000
Mg: 0.500 0.500 0.280
Mg: 0.500 0.500 0.720
Ru: 0.000 0.000 0.500

VASP energy ... -3.574 eV per atom
Spin magnetization ... 0.0 μB/f.u.
Theoretical density ... 3.8 g cm⁻³
Energy relative to the elements ... 0.0211 eV per atom
DOS at the Fermi energy ... 4.08 states/eV per cell

***

No. 17
# MnCdNi2S

A relaxed MnCdNi2S crystal (PBE, Alexandria via LeMat-Bulk).

a b c (Å): 4.215 4.215 5.118
angles (deg): 90.00 90.00 90.00
Fractional coordinates of all 5 atoms:
Mn: 0.000 0.000 0.000
Cd: 0.000 0.000 0.500
Ni: 0.000 0.500 0.000
Ni: 0.500 0.000 0.000
S: 0.500 0.500 0.500

VASP energy ... -3.954 eV per atom
Spin magnetization ... 0.0 μB/f.u.
Theoretical density ... 5.8 g cm⁻³
ΔE_f (raw) ... 6.0 eV per formula unit
DOS at the Fermi energy ... 8.92 states/eV per cell

***

No. 18
# ZrPbAu2

A relaxed ZrPbAu2 crystal (PBE, Alexandria via LeMat-Bulk).

a b c (Å): 4.352 4.352 8.993
angles (deg): 90.00 90.00 90.00
Fractional coordinates of all 8 atoms:
Zr: 0.000 0.000 0.000
Zr: 0.500 0.500 0.500
Pb: 0.000 0.500 0.250
Pb: 0.500 0.000 0.750
Au: 0.000 0.000 0.500
Au: 0.000 0.500 0.750
Au: 0.500 0.000 0.250
Au: 0.500 0.500 0.000

VASP energy ... -4.808 eV per atom
Spin magnetization ... 0.0 μB/f.u.
Theoretical density ... 13.5 g cm⁻³
Energy relative to the elements ... -0.1056 eV per atom
DOS at the Fermi energy ... 7.04 states/eV per cell

***

No. 19
# Sm2CoNi12P3

A relaxed Sm2CoNi12P3 crystal (PBE, Alexandria via LeMat-Bulk).

a b c (Å): 6.271 6.271 6.271
angles (deg): 85.39 85.39 85.39
Fractional coordinates of all 18 atoms:
Sm: 0.179 0.179 0.179
Sm: 0.821 0.821 0.821
Co: 0.500 0.500 0.500
Ni: 0.114 0.114 0.616
Ni: 0.114 0.616 0.114
Ni: 0.198 0.679 0.679
Ni: 0.321 0.321 0.802
Ni: 0.321 0.802 0.321
Ni: 0.384 0.886 0.886
Ni: 0.616 0.114 0.114
Ni: 0.679 0.198 0.679
Ni: 0.679 0.679 0.198
Ni: 0.802 0.321 0.321
Ni: 0.886 0.384 0.886
Ni: 0.886 0.886 0.384
P: 0.000 0.500 0.500
P: 0.500 0.000 0.500
P: 0.500 0.500 0.000

VASP energy ... -5.717 eV per atom
Spin magnetization ... 3.5 μB/f.u.
Theoretical density ... 7.9 g cm⁻³
Energy relative to the elements ... -0.0415 eV per atom
DOS at the Fermi energy ... 21.01 states/eV per cell

***

No. 20
# Zn5GaIr3

A relaxed Zn5GaIr3 crystal (PBE, Alexandria via LeMat-Bulk).

a b c (Å): 7.027 7.027 13.483
angles (deg): 90.00 90.00 155.83
Fractional coordinates of all 18 atoms:
Zn: 0.000 0.000 0.000
Zn: 0.000 0.000 0.500
Zn: 0.189 0.811 0.555
Zn: 0.189 0.811 0.945
Zn: 0.445 0.555 0.157
Zn: 0.445 0.555 0.343
Zn: 0.555 0.445 0.657
Zn: 0.555 0.445 0.843
Zn: 0.811 0.189 0.055
Zn: 0.811 0.189 0.445
Ga: 0.158 0.842 0.250
Ga: 0.842 0.158 0.750
Ir: 0.185 0.815 0.750
Ir: 0.375 0.625 0.598
Ir: 0.375 0.625 0.902
Ir: 0.625 0.375 0.098
Ir: 0.625 0.375 0.402
Ir: 0.815 0.185 0.250

VASP energy ... -4.158 eV per atom
Spin magnetization ... 0.0 μB/f.u.
Theoretical density ... 11.9 g cm⁻³
Energy relative to the elements ... -0.1603 eV per atom
DOS at the Fermi energy ... 6.85 states/eV per cell